DFT (PBE) results for an optimized crystal structure of Ti3Ga2Sn.

a b c (Å): 5.5174 5.3696 7.6493
angles (deg): 101.01 111.14 90.00
Element x y z (fractional)
Ga: 0.7882 0.0617 0.3384
Ga: 0.5502 0.5617 0.3384
Ga: 0.2118 0.9383 0.6616
Ga: 0.4498 0.4383 0.6616
Sn: 0.8660 0.7500 0.0000
Sn: 0.1340 0.2500 0.0000
Ti: 0.0448 0.5687 0.3410
Ti: 0.7038 0.9313 0.6590
Ti: 0.9552 0.4313 0.6590
Ti: 0.3712 0.7500 0.0000
Ti: 0.2962 0.0687 0.3410
Ti: 0.6288 0.2500 0.0000

Values from the calculation:
The value obtained for the total magnetic moment is 0.000 μB/atom. The total energy is -5.969 eV/atom. The relative energy among the computed polymorphs comes out at 0.202 eV/f.u. The calculation puts the density of states at the Fermi level at 0.70 states/eV/atom. The value obtained for the formation energy is -0.346 eV/atom.